An optimized crystal structure of TlGa2S4. Source: the Alexandria database, functional GGA-PBE.

abc: 5.270 5.270 6.611
angles: 90.00 90.00 90.00
Fractional positions:
Tl 0.000 0.000 0.000
Ga 0.000 0.500 0.500
Ga 0.500 0.000 0.500
S 0.273 0.273 0.292
S 0.273 0.727 0.708
S 0.727 0.273 0.708
S 0.727 0.727 0.292

Results
calculated volume	26.23	A^3/atom
SG	No. 111
raw total energy	-4.04	eV per atom
crystal system	tetragonal
total moment	0.0	μB per formula unit
raw formation energy	-3.368	eV/f.u.